# 1
A plane-wave DFT calculation with PBE was carried out for NaLi5Cd3 after structural relaxation.

magnetic moment: 0.00 μB/cell
energy of formation: -137 meV per atom
symmetry: P6_3/mcm, No. 193

Cell: 8.499 8.499 5.784 Å, 90.00 90.00 120.00°
Atoms (fractional coordinates):
Na 0.000 0.000 0.000
Na 0.000 0.000 0.500
Li 0.000 0.324 0.250
Li 0.000 0.676 0.750
Li 0.324 0.000 0.250
Li 0.324 0.324 0.750
Li 0.333 0.667 0.000
Li 0.333 0.667 0.500
Li 0.667 0.333 0.000
Li 0.667 0.333 0.500
Li 0.676 0.000 0.750
Li 0.676 0.676 0.250
Cd 0.000 0.355 0.750
Cd 0.000 0.645 0.250
Cd 0.355 0.000 0.750
Cd 0.355 0.355 0.250
Cd 0.645 0.000 0.250
Cd 0.645 0.645 0.750

---

# 2
A plane-wave DFT calculation with PBE was carried out for NaLi2Cd8 after structural relaxation.

magnetic moment: 0.00 μB/cell
energy of formation: -110 meV per atom
symmetry: Immm, No. 71
ΔE to the lowest computed polymorph: 0.0 meV per atom

Cell: 8.128 8.128 8.128 Å, 146.31 126.14 65.05°
Atoms (fractional coordinates):
Na 0.000 0.000 0.000
Li 0.303 0.303 0.000
Li 0.697 0.697 0.000
Cd 0.144 0.850 0.293
Cd 0.160 0.660 0.500
Cd 0.302 0.500 0.802
Cd 0.443 0.150 0.293
Cd 0.557 0.850 0.707
Cd 0.698 0.500 0.198
Cd 0.840 0.340 0.500
Cd 0.856 0.150 0.707

---

# 3
A plane-wave DFT calculation with PBE was carried out for Na8LiCd2 after structural relaxation.

magnetic moment: 0.00 μB/cell
energy of formation: -13 meV per atom
symmetry: C2/m, No. 12
ΔE to the lowest computed polymorph: 0.0 meV per atom

Cell: 8.599 8.599 8.629 Å, 119.22 119.22 38.02°
Atoms (fractional coordinates):
Na 0.041 0.041 0.223
Na 0.145 0.145 0.706
Na 0.322 0.322 0.591
Na 0.391 0.391 0.046
Na 0.609 0.609 0.954
Na 0.678 0.678 0.409
Na 0.855 0.855 0.294
Na 0.959 0.959 0.777
Li 0.500 0.500 0.500
Cd 0.223 0.223 0.155
Cd 0.777 0.777 0.845

---

# 4
A plane-wave DFT calculation with PBE was carried out for Na12LiCd7 after structural relaxation.

magnetic moment: 0.00 μB/cell
energy of formation: -56 meV per atom
symmetry: R-3, No. 148
ΔE to the lowest computed polymorph: 0.0 meV per atom

Cell: 8.839 8.839 8.839 Å, 107.21 107.21 107.21°
Atoms (fractional coordinates):
Na 0.024 0.148 0.695
Na 0.148 0.695 0.024
Na 0.176 0.636 0.465
Na 0.305 0.976 0.852
Na 0.364 0.535 0.824
Na 0.465 0.176 0.636
Na 0.535 0.824 0.364
Na 0.636 0.465 0.176
Na 0.695 0.024 0.148
Na 0.824 0.364 0.535
Na 0.852 0.305 0.976
Na 0.976 0.852 0.305
Li 0.500 0.500 0.500
Cd 0.000 0.000 0.000
Cd 0.132 0.253 0.391
Cd 0.253 0.391 0.132
Cd 0.391 0.132 0.253
Cd 0.609 0.868 0.747
Cd 0.747 0.609 0.868
Cd 0.868 0.747 0.609